10
Lattice="4.6171 -8.0922 0.0000 4.6171 8.0922 0.0000 0.0000 0.0000 5.4677" Properties=species:S:1:pos:R:3 comment="Pr7NdCd2 GGA-PBE optimized geometry" e_tot_ev_per_atom=-3.651 total_magnetization_mub_per_cell=0.0 pbc="T T T"
Pr 0.0000 0.0000 0.0000
Pr 2.9251 1.9211 0.0000
Pr 4.6171 3.6619 2.7338
Pr 2.9251 -1.9211 0.0000
Pr 6.3090 1.9211 0.0000
Pr 4.6171 -3.6619 2.7338
Pr 6.3090 -1.9211 0.0000
Nd 4.6171 0.0000 2.7338
Cd 4.6171 4.9140 0.0000
Cd 4.6171 -4.9140 0.0000